No. 1
First-principles (GGA-PBE) data for a relaxed NdYH2 crystal, as listed in the Alexandria database.

Properties
The total magnetization is 0.0 μB/cell. The calculation puts the calculated volume at 16.58 A^3/atom. Its space group is R3m, No. 160. The calculation puts the uncorrected energy at -19.11 eV/cell. For the energy relative to the lowest polymorph listed for this composition, the calculation gives 87 meV per atom.

Cell lengths 3.561, 3.561, 6.378 Å; angles 73.79, 73.79, 60.00 degrees
Positions (direct):
1 H 0.269 0.269 0.194
2 Y 0.669 0.669 0.992
3 H 0.071 0.071 0.786
4 Nd 0.491 0.491 0.528


No. 2
First-principles (GGA-PBE) data for a relaxed NdYH4 crystal, as listed in the Alexandria database.

Properties
The total magnetization is 0.0 μB/cell. The calculation puts the calculated volume at 12.63 A^3/atom. Its space group is P4/mmm, No. 123. The calculation puts the uncorrected energy at -28.74 eV/cell.

Cell lengths 3.762, 3.762, 5.358 Å; angles 90.00, 90.00, 90.00 degrees
Positions (direct):
1 H 0.001 0.497 0.263
2 Y 0.001 0.997 0.498
3 H 0.001 0.497 0.734
4 H 0.501 0.997 0.263
5 H 0.501 0.997 0.734
6 Nd 0.501 0.497 0.998


No. 3
First-principles (GGA-PBE) data for a relaxed NdY3H crystal, as listed in the Alexandria database.

Properties
The total magnetization is 0.0 μB/cell. The calculation puts the calculated volume at 25.81 A^3/atom. Its space group is Pm-3m, No. 221. The calculation puts the uncorrected energy at -28.32 eV/cell.

Cell lengths 5.053, 5.053, 5.053 Å; angles 90.00, 90.00, 90.00 degrees
Positions (direct):
1 Nd 0.500 0.500 0.500
2 Y 0.000 0.500 0.000
3 Y 0.000 0.000 0.500
4 H 0.000 0.000 0.000
5 Y 0.500 0.000 0.000


No. 4
First-principles (GGA-PBE) data for a relaxed NdYH crystal, as listed in the Alexandria database.

Properties
The total magnetization is 0.0 μB/cell. The calculation puts the calculated volume at 22.87 A^3/atom. Its space group is Pm, No. 6. The calculation puts the uncorrected energy at -121.43 eV/cell. For the energy relative to the lowest polymorph listed for this composition, the calculation gives 24 meV per atom.

Cell lengths 3.584, 11.634, 13.161 Å; angles 89.88, 90.00, 90.00 degrees
Positions (direct):
1 Nd 0.500 0.160 0.607
2 Y 0.500 0.912 0.740
3 Y 0.000 0.423 0.970
4 Nd 0.000 0.395 0.229
5 Nd 0.500 0.181 0.075
6 H 0.000 0.795 0.177
7 Y 0.500 0.164 0.358
8 Nd 0.000 0.673 0.831
9 Y 0.000 0.918 0.985
10 H 0.000 0.298 0.662
11 H 0.500 0.799 0.919
12 Nd 0.500 0.670 0.587
13 H 0.000 0.017 0.320
14 Nd 0.000 0.174 0.835
15 H 0.500 0.359 0.363
16 Y 0.000 0.393 0.489
17 H 0.500 0.303 0.912
18 Y 0.500 0.417 0.732
19 Y 0.000 0.922 0.478
20 H 0.000 0.795 0.668
21 Nd 0.500 0.669 0.083
22 Y 0.500 0.909 0.243
23 Nd 0.000 0.673 0.332
24 H 0.500 0.982 0.403


No. 5
First-principles (GGA-PBE) data for a relaxed Nd2Y2H crystal, as listed in the Alexandria database.

Properties
The total magnetization is 0.0 μB/cell. The calculation puts the calculated volume at 26.47 A^3/atom. Its space group is P4/mmm, No. 123. The calculation puts the uncorrected energy at -26.66 eV/cell.

Cell lengths 5.111, 5.089, 5.089 Å; angles 90.00, 90.00, 90.00 degrees
Positions (direct):
1 Nd 0.500 0.000 0.000
2 Y 0.000 0.000 0.500
3 Nd 0.500 0.500 0.500
4 Y 0.000 0.500 0.000
5 H 0.000 0.000 0.000


No. 6
First-principles (GGA-PBE) data for a relaxed NdY3H8 crystal, as listed in the Alexandria database.

Properties
The total magnetization is 0.0 μB/cell. The calculation puts the calculated volume at 12.16 A^3/atom. Its space group is I4/mmm, No. 139. The calculation puts the uncorrected energy at -59.34 eV/cell.

Cell lengths 5.250, 5.250, 6.468 Å; angles 113.94, 113.94, 90.00 degrees
Positions (direct):
1 Y 0.250 0.750 0.500
2 H 0.615 0.128 0.743
3 H 0.615 0.615 0.743
4 H 0.385 0.385 0.257
5 H 0.128 0.615 0.743
6 H 0.872 0.385 0.257
7 H 0.128 0.128 0.743
8 H 0.385 0.872 0.257
9 H 0.872 0.872 0.257
10 Y 0.500 0.500 0.000
11 Nd 0.000 0.000 0.000
12 Y 0.750 0.250 0.500


Which value of calculated volume does entry 6 give?
12.16 A^3/atom


What did the fifth record say?
First-principles (GGA-PBE) data for a relaxed Nd2Y2H crystal, as listed in the Alexandria database.

Properties
The total magnetization is 0.0 μB/cell. The calculation puts the calculated volume at 26.47 A^3/atom. Its space group is P4/mmm, No. 123. The calculation puts the uncorrected energy at -26.66 eV/cell.

Cell lengths 5.111, 5.089, 5.089 Å; angles 90.00, 90.00, 90.00 degrees
Positions (direct):
1 Nd 0.500 0.000 0.000
2 Y 0.000 0.000 0.500
3 Nd 0.500 0.500 0.500
4 Y 0.000 0.500 0.000
5 H 0.000 0.000 0.000